Mn2VF | PBE with a Hubbard U | relaxed

Cell and atoms, written as POSCAR:
```
Mn2VF
1.0
1.045 -3.735 -2.396
-3.186 -2.045 -2.540
0.235 0.201 -4.548
V F Mn
1 1 2
direct
0.500 0.500 0.500
0.000 0.000 0.000
0.250 0.250 0.250
0.750 0.750 0.750
```

Summary:
Space-group type ... Fm-3m
E_tot ... -22.749 eV/cell